A relaxed structure of ScMn2AlHg. Source: the Alexandria database, functional PBEsol.

Values from the calculation:
VASP energy	-5.42	eV/atom
V	99.0	Å³/cell
N(E_F)	5.84	states/eV/cell
symmetry	P4/mmm (123)

```
ScMn2AlHg
1.0
4.5486 0.0000 0.0000
0.0000 4.5486 0.0000
0.0000 0.0000 4.7858
Sc Mn Al Hg
1 2 1 1
direct
0.0000 0.0000 0.0000
0.0000 0.5000 0.5000
0.5000 0.0000 0.5000
0.5000 0.5000 0.5000
0.5000 0.5000 0.0000
```



A relaxed structure of Sc3GaSi. Source: the Alexandria database, functional PBEsol.

Values from the calculation:
V	118.2	Å³/cell
formation energy (no corrections)	-0.17	eV/atom
N(E_F)	4.76	states/eV/cell
symmetry	Pm-3m (221)

```
Sc3GaSi
1.0
4.9078 0.0000 0.0000
0.0000 4.9078 0.0000
0.0000 0.0000 4.9078
Sc Ga Si
3 1 1
direct
0.0000 0.0000 0.5000
0.0000 0.5000 0.0000
0.5000 0.0000 0.0000
0.5000 0.5000 0.5000
0.0000 0.0000 0.0000
```



A relaxed structure of K3TlAu5. Source: the Alexandria database, functional PBEsol.

Values from the calculation:
VASP energy	-3.09	eV/atom
V	457.4	Å³/cell
N(E_F)	5.06	states/eV/cell
symmetry	Imma (74)

```
K3TlAu5
1.0
-2.7886 9.8156 4.1775
2.7886 -9.8156 4.1775
2.7886 9.8156 -4.1775
K Tl Au
6 2 10
direct
0.1305 0.8805 0.2500
0.2087 0.1210 0.0877
0.4668 0.8790 0.5877
0.5332 0.1210 0.4123
0.7913 0.8790 0.9123
0.8695 0.1195 0.7500
0.4157 0.6657 0.7500
0.5843 0.3343 0.2500
0.0000 0.5000 0.5000
0.1008 0.4574 0.6434
0.1896 0.0000 0.6896
0.1896 0.5000 0.1896
0.3141 0.4574 0.8566
0.5000 0.5000 0.0000
0.6859 0.5426 0.1434
0.8104 0.0000 0.3104
0.8104 0.5000 0.8104
0.8992 0.5426 0.3566
```



A relaxed structure of K2LiTbCl6. Source: the Alexandria database, functional PBEsol.

Values from the calculation:
V	265.1	Å³/cell
formation energy (no corrections)	-2.06	eV/atom
N(E_F)	0.00	states/eV/cell
symmetry	Fm-3m (225)

```
K2LiTbCl6
1.0
0.0000 5.0988 5.0988
5.0988 0.0000 5.0988
5.0988 5.0988 0.0000
K Li Tb Cl
2 1 1 6
direct
0.2500 0.2500 0.2500
0.7500 0.7500 0.7500
0.0000 0.0000 0.0000
0.5000 0.5000 0.5000
0.2449 0.2449 0.7551
0.2449 0.7551 0.2449
0.2449 0.7551 0.7551
0.7551 0.2449 0.2449
0.7551 0.2449 0.7551
0.7551 0.7551 0.2449
```